one | CeSi2Ir3 | PBE | relaxed

a = 6.696 Å, b = 6.696 Å, c = 6.696 Å
α = 130.34°, β = 114.44°, γ = 86.50°
Atoms (fractional coordinates):
1 Ir 0.500 0.500 0.500
2 Ir 0.000 0.500 0.000
3 Ir 0.282 0.000 0.282
4 Ir 0.718 0.000 0.718
5 Ir 0.782 0.500 0.282
6 Ir 0.218 0.500 0.718
7 Si 0.080 0.279 0.198
8 Si 0.580 0.382 0.802
9 Si 0.420 0.618 0.198
10 Si 0.920 0.721 0.802
11 Ce 0.250 0.968 0.718
12 Ce 0.750 0.032 0.282

Computed properties:
Theoretical density   12.91 g/cm3
Calculated volume   16.573 Å³ per atom
Total magnetization   0.542 μB/f.u.



two | CeSi2Ir3 | PBE | relaxed

a = 5.598 Å, b = 5.598 Å, c = 3.705 Å
α = 90.00°, β = 90.00°, γ = 120.00°
Atoms (fractional coordinates):
1 Si 0.333 0.667 0.000
2 Si 0.667 0.333 0.000
3 Ir 0.000 0.500 0.500
4 Ir 0.500 0.500 0.500
5 Ir 0.500 0.000 0.500
6 Ce 0.000 0.000 0.000

Computed properties:
Theoretical density   12.77 g/cm3
Calculated volume   16.758 Å³ per atom
Total magnetization   0.624 μB/f.u.



Which is most stable, and by how much? one, by 29 meV per atom.



one | Ce4SiIr | PBE | relaxed

a = 4.970 Å, b = 6.525 Å, c = 9.959 Å
α = 90.00°, β = 119.83°, γ = 90.00°
Atoms (fractional coordinates):
1 Si 0.335 0.250 0.085
2 Si 0.665 0.750 0.915
3 Ce 0.634 0.250 0.884
4 Ce 0.969 0.466 0.220
5 Ce 0.366 0.750 0.116
6 Ce 0.031 0.534 0.780
7 Ce 0.969 0.034 0.220
8 Ce 0.305 0.750 0.554
9 Ce 0.695 0.250 0.446
10 Ce 0.031 0.966 0.780
11 Ir 0.313 0.250 0.564
12 Ir 0.687 0.750 0.436

Computed properties:
Theoretical density   9.26 g/cm3
Calculated volume   23.346 Å³ per atom
Total magnetization   1.634 μB/f.u.



two | Ce4SiIr | PBE | relaxed

a = 5.159 Å, b = 6.083 Å, c = 10.342 Å
α = 90.00°, β = 104.44°, γ = 90.00°
Atoms (fractional coordinates):
1 Ir 0.416 0.322 0.831
2 Ir 0.584 0.822 0.169
3 Ce 0.899 0.322 0.798
4 Ce 0.286 0.048 0.573
5 Ce 0.101 0.822 0.202
6 Ce 0.557 0.322 0.115
7 Ce 0.443 0.822 0.885
8 Ce 0.714 0.548 0.427
9 Ce 0.286 0.596 0.573
10 Ce 0.714 0.096 0.427
11 Si 0.846 0.822 0.691
12 Si 0.154 0.322 0.309

Computed properties:
Theoretical density   8.25 g/cm3
Calculated volume   26.191 Å³ per atom
Total magnetization   2.365 μB/f.u.



Which is most stable, and by how much? one, by 48 meV per atom.



one | Ce2Sm2Ir3 | PBE | relaxed

a = 4.069 Å, b = 6.903 Å, c = 7.222 Å
α = 99.40°, β = 90.01°, γ = 107.13°
Atoms (fractional coordinates):
1 Sm 0.136 0.272 0.362
2 Sm 0.864 0.728 0.638
3 Ce 0.371 0.742 0.097
4 Ce 0.629 0.258 0.903
5 Ir 0.234 0.469 0.750
6 Ir 0.000 0.000 0.000
7 Ir 0.766 0.531 0.250

Computed properties:
Theoretical density   10.06 g/cm3
Calculated volume   27.288 Å³ per atom
Total magnetization   0.003 μB/f.u.



two | Ce2Sm2Ir3 | PBE | relaxed

a = 7.575 Å, b = 7.575 Å, c = 7.575 Å
α = 109.47°, β = 109.47°, γ = 109.47°
Atoms (fractional coordinates):
1 Sm 0.873 0.500 0.000
2 Sm 0.500 0.373 0.500
3 Sm 0.000 0.000 0.373
4 Sm 0.627 0.127 0.127
5 Ir 0.750 0.630 0.380
6 Ir 0.620 0.750 0.870
7 Ir 0.880 0.250 0.630
8 Ir 0.250 0.870 0.120
9 Ir 0.130 0.380 0.250
10 Ir 0.370 0.120 0.750
11 Ce 0.384 0.500 0.000
12 Ce 0.116 0.616 0.616
13 Ce 0.500 0.884 0.500
14 Ce 0.000 0.000 0.884

Computed properties:
Theoretical density   11.49 g/cm3
Calculated volume   23.902 Å³ per atom
Total magnetization   1.127 μB/f.u.



Which is most stable, and by how much? two, by 37 meV per atom.



one | CeSm2Ir | PBE | relaxed

a = 6.527 Å, b = 7.180 Å, c = 9.739 Å
α = 90.00°, β = 90.00°, γ = 90.00°
Atoms (fractional coordinates):
1 Ce 0.348 0.459 0.750
2 Ce 0.152 0.959 0.750
3 Ce 0.652 0.541 0.250
4 Ce 0.848 0.041 0.250
5 Ir 0.037 0.373 0.250
6 Ir 0.537 0.127 0.750
7 Ir 0.963 0.627 0.750
8 Ir 0.463 0.873 0.250
9 Sm 0.169 0.678 0.065
10 Sm 0.831 0.322 0.565
11 Sm 0.669 0.822 0.565
12 Sm 0.669 0.822 0.935
13 Sm 0.331 0.178 0.435
14 Sm 0.169 0.678 0.435
15 Sm 0.831 0.322 0.935
16 Sm 0.331 0.178 0.065

Computed properties:
Theoretical density   9.21 g/cm3
Calculated volume   28.527 Å³ per atom
Total magnetization   0.824 μB/f.u.



two | CeSm2Ir | PBE | relaxed

a = 3.817 Å, b = 3.817 Å, c = 10.813 Å
α = 79.83°, β = 79.83°, γ = 60.00°
Atoms (fractional coordinates):
1 Ce 0.000 0.000 0.000
2 Ir 0.500 0.500 0.500
3 Sm 0.887 0.887 0.339
4 Sm 0.113 0.113 0.661

Computed properties:
Theoretical density   7.87 g/cm3
Calculated volume   33.392 Å³ per atom
Total magnetization   2.078 μB/f.u.



Which is most stable, and by how much? one, by 431 meV per atom.



one | Ce3Sn2Ir | PBE | relaxed

a = 4.652 Å, b = 10.726 Å, c = 12.847 Å
α = 90.00°, β = 90.00°, γ = 90.00°
Atoms (fractional coordinates):
1 Sn 0.250 0.724 0.515
2 Sn 0.250 0.480 0.794
3 Sn 0.750 0.980 0.706
4 Sn 0.750 0.520 0.206
5 Sn 0.750 0.276 0.485
6 Sn 0.250 0.020 0.294
7 Sn 0.750 0.224 0.985
8 Sn 0.250 0.776 0.015
9 Ce 0.750 0.910 0.446
10 Ce 0.250 0.783 0.761
11 Ce 0.750 0.283 0.739
12 Ce 0.250 0.090 0.554
13 Ce 0.250 0.717 0.261
14 Ce 0.750 0.547 0.615
15 Ce 0.750 0.590 0.946
16 Ce 0.750 0.217 0.239
17 Ce 0.250 0.047 0.885
18 Ce 0.750 0.953 0.115
19 Ce 0.250 0.453 0.385
20 Ce 0.250 0.410 0.054
21 Ir 0.250 0.351 0.600
22 Ir 0.750 0.649 0.400
23 Ir 0.250 0.149 0.100
24 Ir 0.750 0.851 0.900

Computed properties:
Theoretical density   8.81 g/cm3
Calculated volume   26.709 Å³ per atom
Total magnetization   2.384 μB/f.u.



two | Ce3Sn2Ir | PBE | relaxed

a = 6.204 Å, b = 7.676 Å, c = 8.101 Å
α = 103.70°, β = 112.52°, γ = 90.00°
Atoms (fractional coordinates):
1 Sn 0.685 0.591 0.366
2 Sn 0.681 0.091 0.366
3 Sn 0.315 0.409 0.634
4 Sn 0.319 0.909 0.634
5 Ce 0.861 0.431 0.726
6 Ce 0.503 0.750 0.000
7 Ce 0.865 0.931 0.726
8 Ce 0.139 0.569 0.274
9 Ce 0.497 0.250 0.000
10 Ce 0.135 0.069 0.274
11 Ir 0.002 0.750 0.000
12 Ir 0.998 0.250 0.000

Computed properties:
Theoretical density   8.19 g/cm3
Calculated volume   28.706 Å³ per atom
Total magnetization   1.254 μB/f.u.



Which is most stable, and by how much? one, by 182 meV per atom.



one | SrCeIr2 | PBE | relaxed

a = 3.575 Å, b = 3.575 Å, c = 7.119 Å
α = 90.00°, β = 90.00°, γ = 90.00°
Atoms (fractional coordinates):
1 Ce 0.500 0.500 0.000
2 Ir 0.000 0.000 0.204
3 Ir 0.000 0.000 0.796
4 Sr 0.500 0.500 0.500

Computed properties:
Theoretical density   11.17 g/cm3
Calculated volume   22.747 Å³ per atom
Total magnetization   0.000 μB/f.u.



two | SrCeIr2 | PBE | relaxed

a = 4.613 Å, b = 4.613 Å, c = 6.098 Å
α = 67.77°, β = 67.77°, γ = 60.00°
Atoms (fractional coordinates):
1 Ce 0.000 0.000 0.000
2 Ir 0.293 0.293 0.120
3 Ir 0.707 0.707 0.880
4 Sr 0.500 0.500 0.500

Computed properties:
Theoretical density   10.05 g/cm3
Calculated volume   25.278 Å³ per atom
Total magnetization   0.000 μB/f.u.



Which is most stable, and by how much? one, by 20 meV per atom.